## a
Here is an optimized crystal structure of EuLuAu2 from Alexandria via LeMat-Bulk. Energies are from GGA-PBE.

Summary:
Density = 12.58 g/cm3
Calculated volume = 95 Å³ per cell
Space-group type = Fm-3m

```
4
Lattice="0.000 3.624 3.624 3.624 0.000 3.624 3.624 3.624 0.000" Properties=species:S:1:pos:R:3 pbc="T T T"
Eu 0.000 0.000 0.000
Lu 3.624 3.624 3.624
Au 1.812 1.812 1.812
Au 5.436 5.436 5.436
```



## b
Here is an optimized crystal structure of EuLuAu2 from Alexandria via LeMat-Bulk. Energies are from GGA-PBE.

Summary:
Density = 10.99 g/cm3
Calculated volume = 109 Å³ per cell
Space-group type = R-3m

```
4
Lattice="2.118 1.223 7.011 -2.118 1.223 7.011 0.000 -2.446 7.011" Properties=species:S:1:pos:R:3 pbc="T T T"
Eu 0.000 0.000 0.000
Lu 0.000 0.000 10.517
Au 0.000 0.000 5.045
Au 0.000 0.000 15.988
```



## c
Here is an optimized crystal structure of EuLuAu2 from Alexandria via LeMat-Bulk. Energies are from GGA-PBE.

Summary:
Density = 12.47 g/cm3
Calculated volume = 96 Å³ per cell
Space-group type = P4/mmm

```
4
Lattice="3.604 0.000 0.000 0.000 3.604 0.000 0.000 0.000 7.388" Properties=species:S:1:pos:R:3 pbc="T T T"
Eu 0.000 0.000 0.000
Lu 0.000 0.000 3.694
Au 1.802 1.802 2.105
Au 1.802 1.802 5.283
```



Q: Which of them is the most stable? A: c.



## a
Here is an optimized crystal structure of Eu2MgAu from Alexandria via LeMat-Bulk. Energies are from GGA-PBE.

Summary:
Density = 7.48 g/cm3
Calculated volume = 117 Å³ per cell
Space-group type = P4/mmm

```
4
Lattice="3.835 0.000 0.000 0.000 3.835 0.000 0.000 0.000 7.923" Properties=species:S:1:pos:R:3 pbc="T T T"
Eu 0.000 0.000 1.767
Eu 0.000 0.000 6.157
Mg 1.918 1.918 3.962
Au 1.918 1.918 0.000
```



## b
Here is an optimized crystal structure of Eu2MgAu from Alexandria via LeMat-Bulk. Energies are from GGA-PBE.

Summary:
Density = 5.70 g/cm3
Calculated volume = 153 Å³ per cell
Space-group type = R-3m

```
4
Lattice="2.019 1.166 10.831 -2.019 1.166 10.831 0.000 -2.331 10.831" Properties=species:S:1:pos:R:3 pbc="T T T"
Eu 0.000 0.000 3.491
Eu 0.000 0.000 29.002
Mg 0.000 0.000 0.000
Au 0.000 0.000 16.247
```



Q: Which of them is the most stable? A: a.



## a
Here is an optimized crystal structure of Eu2AuN from Alexandria via LeMat-Bulk. Energies are from GGA-PBE.

Summary:
Density = 10.86 g/cm3
Calculated volume = 79 Å³ per cell
Space-group type = P4/mmm

```
4
Lattice="3.265 0.000 0.000 0.000 3.265 0.000 0.000 0.000 7.385" Properties=species:S:1:pos:R:3 pbc="T T T"
Eu 0.000 0.000 1.418
Eu 0.000 0.000 5.968
Au 1.633 1.633 3.693
N 1.633 1.633 0.000
```



## b
Here is an optimized crystal structure of Eu2AuN from Alexandria via LeMat-Bulk. Energies are from GGA-PBE.

Summary:
Density = 9.55 g/cm3
Calculated volume = 90 Å³ per cell
Space-group type = R-3m

```
4
Lattice="1.864 1.076 7.438 -1.864 1.076 7.438 0.000 -2.152 7.438" Properties=species:S:1:pos:R:3 pbc="T T T"
Eu 0.000 0.000 5.091
Eu 0.000 0.000 17.222
Au 0.000 0.000 0.000
N 0.000 0.000 11.156
```



Q: Which of them is the most stable? A: b.



## a
Here is an optimized crystal structure of NaEuAu from Alexandria via LeMat-Bulk. Energies are from GGA-PBE.

Summary:
Density = 7.22 g/cm3
Calculated volume = 85 Å³ per cell
Space-group type = I4mm

```
3
Lattice="-1.926 1.926 5.762 1.926 -1.926 5.762 1.926 1.926 -5.762" Properties=species:S:1:pos:R:3 pbc="T T T"
Na 0.000 0.000 0.000
Eu 0.000 0.000 3.250
Au 0.000 0.000 7.411
```



## b
Here is an optimized crystal structure of NaEuAu from Alexandria via LeMat-Bulk. Energies are from GGA-PBE.

Summary:
Density = 6.55 g/cm3
Calculated volume = 94 Å³ per cell
Space-group type = F-43m

```
3
Lattice="0.000 3.613 3.613 3.613 0.000 3.613 3.613 3.613 0.000" Properties=species:S:1:pos:R:3 pbc="T T T"
Na 0.000 0.000 0.000
Eu 3.613 3.613 3.613
Au 5.419 5.419 5.419
```



## c
Here is an optimized crystal structure of NaEuAu from Alexandria via LeMat-Bulk. Energies are from GGA-PBE.

Summary:
Density = 7.37 g/cm3
Calculated volume = 84 Å³ per cell
Space-group type = P3m1

```
3
Lattice="4.959 0.000 0.000 -2.479 4.294 0.000 0.000 0.000 3.935" Properties=species:S:1:pos:R:3 pbc="T T T"
Na 0.000 0.000 0.000
Eu 2.479 1.431 1.956
Au 0.000 2.863 3.894
```



Q: Which of them is the most stable? A: b.